[1]
Ca2YTi | PBE | relaxed

Calculated values
- Energy: -3.915 eV/atom
- Energy of formation: 0.675 eV/atom
- Energy above the most stable polymorph in this dataset: 177.4 meV per atom
- Magnetization: 0.741 μB per atom
- ρ: 2.82 Mg/m³

a b c (Å): 8.8560 8.8560 6.5151
angles (deg): 90.00 90.00 90.00
Space group I-42d (No. 122)
Inequivalent atoms, fractional coordinates:
1 Ca 0.2257 0.7500 0.1250 x8
2 Y 0.0000 0.0000 0.5000 x4
3 Ti 0.0000 0.0000 0.0000 x4


[2]
Pr2Sn3Rh5 | PBE | relaxed

Calculated values
- Energy: -6.416 eV/atom
- Energy of formation: -0.583 eV/atom
- Magnetization: 0.000 μB per atom
- ρ: 9.12 Mg/m³

a b c (Å): 11.5554 11.8384 6.1367
angles (deg): 90.00 90.00 90.00
Space group Ibam (No. 72)
Inequivalent atoms, fractional coordinates:
1 Pr 0.2418 0.1240 0.0000 x8
2 Sn 0.0000 0.5000 0.2500 x4
3 Sn 0.1192 0.1344 0.5000 x8
4 Rh 0.0000 0.0000 0.2500 x4
5 Rh 0.0000 0.2700 0.2500 x8
6 Rh 0.1581 0.3884 0.0000 x8